# K2GeWO6, relaxed, DFT PBE with a Hubbard U
data_K2GeWO6
_chemical_formula_sum 'K8 Ge4 W4 O24'
_cell_length_a 7.811
_cell_length_b 7.811
_cell_length_c 7.811
_cell_angle_alpha 90.00
_cell_angle_beta 90.00
_cell_angle_gamma 90.00
_symmetry_space_group_name_H-M 'F m -3 m'
_symmetry_Int_Tables_number 225
_symmetry_space_group_name_Hall '-F 4 2 3'
loop_
_atom_site_label
_atom_site_type_symbol
_atom_site_fract_x
_atom_site_fract_y
_atom_site_fract_z
K1 K 0.250 0.250 0.250
Ge1 Ge 0.000 0.000 0.000
W1 W 0.000 0.000 0.500
O1 O 0.000 0.000 0.249
# - size of the total moment (μB per cell) = 0.000
# - DFT total energy (eV per cell) = -247.83
# - DOS at the Fermi energy (states/eV/f.u.) = 0.00